Entry 1:
Density functional theory data (PBE-GGA) for crystalline Rb2Te2H at its relaxed geometry.

Output
energy	-2.76	eV/atom
Fermi-level density of states	0.207	states/eV per atom
polymorph energy (0 for the lowest one)	0.46	eV per formula unit

Cell lengths 7.2970, 7.2970, 7.2856 Å; angles 90.00, 90.00, 90.00 degrees
Last column: nearest neighbours and their distance in Å.
Element x y z (fractional)
Rb 0.0000 0.5000 0.2500  2 Rb 3.64, 4 Te 3.65, 4 H 4.08
Rb 0.0000 0.5000 0.7500  2 Rb 3.64, 4 Te 3.65, 4 H 4.08
Rb 0.5000 0.0000 0.2500  2 Rb 3.64, 4 Te 3.65, 4 H 4.08
Rb 0.5000 0.0000 0.7500  2 Rb 3.64, 4 Te 3.65, 4 H 4.08
Te 0.0000 0.0000 0.2286  1 H 1.98
Te 0.0000 0.0000 0.7714  1 H 1.98
Te 0.5000 0.5000 0.2714  1 H 1.98
Te 0.5000 0.5000 0.7286  1 H 1.98
H 0.0000 0.0000 0.5000  2 Te 1.98
H 0.5000 0.5000 0.0000  2 Te 1.98


Entry 2:
Density functional theory data (PBE-GGA) for crystalline RbTeH2 at its relaxed geometry.

Output
energy	-2.97	eV/atom
Fermi-level density of states	0.356	states/eV per atom
polymorph energy (0 for the lowest one)	0.00	eV per formula unit

Cell lengths 5.7710, 4.1332, 9.0822 Å; angles 90.00, 100.91, 90.00 degrees
Last column: nearest neighbours and their distance in Å.
Element x y z (fractional)
Rb 0.1516 0.2500 0.2222  4 H 3.21-3.52
Rb 0.8484 0.7500 0.7778  4 H 3.21-3.52
Te 0.3808 0.2500 0.8640  2 Te 3.31, 2 H 3.44, 4 Rb 3.60-3.66
Te 0.6192 0.7500 0.1360  2 Te 3.31, 2 H 3.44, 4 Rb 3.60-3.66
H 0.2432 0.6583 0.5290  1 H 0.76
H 0.2432 0.8417 0.5290  1 H 0.76
H 0.7568 0.1583 0.4710  1 H 0.76
H 0.7568 0.3417 0.4710  1 H 0.76


Entry 3:
Density functional theory data (PBE-GGA) for crystalline Rb12Te3H5 at its relaxed geometry.

Output
energy	-2.35	eV/atom
Fermi-level density of states	0.392	states/eV per atom

Cell lengths 16.5108, 16.5108, 16.5108 Å; angles 109.47, 109.47, 109.47 degrees
Last column: nearest neighbours and their distance in Å.
Element x y z (fractional)
Rb 0.0277 0.2089 0.1237  2 H 2.83-3.15
Rb 0.0277 0.3188 0.9040  2 H 2.83-3.15
Rb 0.0851 0.7089 0.6812  2 H 2.83-3.15
Rb 0.0851 0.8763 0.4040  2 H 2.83-3.15
Rb 0.0960 0.6237 0.4149  2 H 2.83-3.15
Rb 0.0960 0.9723 0.6812  2 H 2.83-3.15
Rb 0.1237 0.0277 0.2089  2 H 2.83-3.15
Rb 0.1237 0.5960 0.9149  2 H 2.83-3.15
Rb 0.1812 0.2089 0.5851  2 H 2.83-3.15
Rb 0.1812 0.4723 0.5960  2 H 2.83-3.15
Rb 0.2089 0.1237 0.0277  2 H 2.83-3.15
Rb 0.2089 0.5851 0.1812  2 H 2.83-3.15
Rb 0.2911 0.3188 0.9149  2 H 2.83-3.15
Rb 0.2911 0.4723 0.3763  2 H 2.83-3.15
Rb 0.3188 0.9040 0.0277  2 H 2.83-3.15
Rb 0.3188 0.9149 0.2911  2 H 2.83-3.15
Rb 0.3763 0.2911 0.4723  2 H 2.83-3.15
Rb 0.3763 0.5851 0.9040  2 H 2.83-3.15
Rb 0.4040 0.0851 0.8763  2 H 2.83-3.15
Rb 0.4040 0.8188 0.5277  2 H 2.83-3.15
Rb 0.4149 0.0960 0.6237  2 H 2.83-3.15
Rb 0.4149 0.8188 0.7911  2 H 2.83-3.15
Rb 0.4723 0.3763 0.2911  2 H 2.83-3.15
Rb 0.4723 0.5960 0.1812  2 H 2.83-3.15
Rb 0.5277 0.4040 0.8188  2 H 2.83-3.15
Rb 0.5277 0.6237 0.7089  2 H 2.83-3.15
Rb 0.5851 0.1812 0.2089  2 H 2.83-3.15
Rb 0.5851 0.9040 0.3763  2 H 2.83-3.15
Rb 0.5960 0.1812 0.4723  2 H 2.83-3.15
Rb 0.5960 0.9149 0.1237  2 H 2.83-3.15
Rb 0.6237 0.4149 0.0960  2 H 2.83-3.15
Rb 0.6237 0.7089 0.5277  2 H 2.83-3.15
Rb 0.6812 0.0851 0.7089  2 H 2.83-3.15
Rb 0.6812 0.0960 0.9723  2 H 2.83-3.15
Rb 0.7089 0.5277 0.6237  2 H 2.83-3.15
Rb 0.7089 0.6812 0.0851  2 H 2.83-3.15
Rb 0.7911 0.4149 0.8188  2 H 2.83-3.15
Rb 0.7911 0.8763 0.9723  2 H 2.83-3.15
Rb 0.8188 0.5277 0.4040  2 H 2.83-3.15
Rb 0.8188 0.7911 0.4149  2 H 2.83-3.15
Rb 0.8763 0.4040 0.0851  2 H 2.83-3.15
Rb 0.8763 0.9723 0.7911  2 H 2.83-3.15
Rb 0.9040 0.0277 0.3188  2 H 2.83-3.15
Rb 0.9040 0.3763 0.5851  2 H 2.83-3.15
Rb 0.9149 0.1237 0.5960  2 H 2.83-3.15
Rb 0.9149 0.2911 0.3188  2 H 2.83-3.15
Rb 0.9723 0.6812 0.0960  2 H 2.83-3.15
Rb 0.9723 0.7911 0.8763  2 H 2.83-3.15
Te 0.1250 0.2500 0.3750  8 Rb 3.63-3.77
Te 0.1250 0.3750 0.7500  8 Rb 3.63-3.77
Te 0.2500 0.3750 0.1250  8 Rb 3.63-3.77
Te 0.2500 0.8750 0.6250  8 Rb 3.63-3.77
Te 0.3750 0.1250 0.2500  8 Rb 3.63-3.77
Te 0.3750 0.7500 0.1250  8 Rb 3.63-3.77
Te 0.6250 0.2500 0.8750  8 Rb 3.63-3.77
Te 0.6250 0.8750 0.7500  8 Rb 3.63-3.77
Te 0.7500 0.1250 0.3750  8 Rb 3.63-3.77
Te 0.7500 0.6250 0.8750  8 Rb 3.63-3.77
Te 0.8750 0.6250 0.2500  8 Rb 3.63-3.77
Te 0.8750 0.7500 0.6250  8 Rb 3.63-3.77
H 0.0000 0.0000 0.0000  6 Rb 3.15
H 0.0000 0.0000 0.5000  6 Rb 3.15
H 0.0000 0.5000 0.0000  6 Rb 3.15
H 0.0000 0.5000 0.5000  6 Rb 3.15
H 0.1250 0.7500 0.8750  4 Rb 2.83
H 0.1250 0.8750 0.2500  4 Rb 2.83
H 0.2500 0.1250 0.8750  4 Rb 2.83
H 0.2500 0.6250 0.3750  4 Rb 2.83
H 0.3750 0.2500 0.6250  4 Rb 2.83
H 0.3750 0.6250 0.7500  4 Rb 2.83
H 0.5000 0.0000 0.0000  6 Rb 3.15
H 0.5000 0.0000 0.5000  6 Rb 3.15
H 0.5000 0.5000 0.0000  6 Rb 3.15
H 0.5000 0.5000 0.5000  6 Rb 3.15
H 0.6250 0.3750 0.2500  4 Rb 2.83
H 0.6250 0.7500 0.3750  4 Rb 2.83
H 0.7500 0.3750 0.6250  4 Rb 2.83
H 0.7500 0.8750 0.1250  4 Rb 2.83
H 0.8750 0.1250 0.7500  4 Rb 2.83
H 0.8750 0.2500 0.1250  4 Rb 2.83


Entry 4:
Density functional theory data (PBE-GGA) for crystalline Rb2TeH2 at its relaxed geometry.

Output
energy	-2.32	eV/atom
Fermi-level density of states	0.367	states/eV per atom
polymorph energy (0 for the lowest one)	3.27	eV per formula unit

Cell lengths 8.5115, 8.5115, 3.5092 Å; angles 90.00, 90.00, 90.00 degrees
Last column: nearest neighbours and their distance in Å.
Element x y z (fractional)
Rb 0.1567 0.3433 0.0000  6 H 2.99-3.09
Rb 0.3433 0.8433 0.0000  6 H 2.99-3.09
Rb 0.6567 0.1567 0.0000  6 H 2.99-3.09
Rb 0.8433 0.6567 0.0000  6 H 2.99-3.09
Te 0.0000 0.0000 0.5000  4 H 3.28, 2 Te 3.51, 8 Rb 3.66
Te 0.5000 0.5000 0.5000  4 H 3.28, 2 Te 3.51, 8 Rb 3.66
H 0.1423 0.6423 0.5000  6 Rb 2.99-3.09, 2 Te 3.28
H 0.3577 0.1423 0.5000  6 Rb 2.99-3.09, 2 Te 3.28
H 0.6423 0.8577 0.5000  6 Rb 2.99-3.09, 2 Te 3.28
H 0.8577 0.3577 0.5000  6 Rb 2.99-3.09, 2 Te 3.28


Entry 5:
Density functional theory data (PBE-GGA) for crystalline Rb4TeH12 at its relaxed geometry.

Output
energy	-2.86	eV/atom
Fermi-level density of states	0.095	states/eV per atom

Cell lengths 8.0439, 8.0439, 8.0439 Å; angles 109.47, 109.47, 109.47 degrees
Last column: nearest neighbours and their distance in Å.
Element x y z (fractional)
Rb 0.0000 0.0000 0.5000  6 H 3.22
Rb 0.0000 0.5000 0.0000  6 H 3.22
Rb 0.5000 0.0000 0.0000  6 H 3.22
Rb 0.5000 0.5000 0.5000  6 H 3.22
Te 0.0000 0.0000 0.0000  8 Rb 4.02, 12 H 4.43
H 0.1318 0.4584 0.5902  1 H 0.77
H 0.1318 0.5416 0.6733  1 H 0.77
H 0.3267 0.8682 0.4584  1 H 0.77
H 0.4098 0.8682 0.5416  1 H 0.77
H 0.4584 0.3267 0.8682  1 H 0.77
H 0.4584 0.5902 0.1318  1 H 0.77
H 0.5416 0.4098 0.8682  1 H 0.77
H 0.5416 0.6733 0.1318  1 H 0.77
H 0.5902 0.1318 0.4584  1 H 0.77
H 0.6733 0.1318 0.5416  1 H 0.77
H 0.8682 0.4584 0.3267  1 H 0.77
H 0.8682 0.5416 0.4098  1 H 0.77


Entry 6:
Density functional theory data (PBE-GGA) for crystalline Rb3TeH2 at its relaxed geometry.

Output
energy	-2.35	eV/atom
Fermi-level density of states	0.239	states/eV per atom
polymorph energy (0 for the lowest one)	0.31	eV per formula unit

Cell lengths 9.9885, 9.9885, 4.7172 Å; angles 90.00, 90.00, 111.79 degrees
Last column: nearest neighbours and their distance in Å.
Element x y z (fractional)
Rb 0.0986 0.9014 0.7500  4 H 2.90
Rb 0.1624 0.4400 0.7500  2 H 2.88
Rb 0.4400 0.1624 0.2500  2 H 2.88
Rb 0.5600 0.8376 0.7500  2 H 2.88
Rb 0.8376 0.5600 0.2500  2 H 2.88
Rb 0.9014 0.0986 0.2500  4 H 2.90
Te 0.2624 0.7376 0.2500  8 Rb 3.59-3.94
Te 0.7376 0.2624 0.7500  8 Rb 3.59-3.94
H 0.1866 0.1866 0.0000  2 H 2.36
H 0.1866 0.1866 0.5000  2 H 2.36
H 0.8134 0.8134 0.0000  2 H 2.36
H 0.8134 0.8134 0.5000  2 H 2.36


Entry 7:
Density functional theory data (PBE-GGA) for crystalline Rb2TeH2 at its relaxed geometry.

Output
energy	-2.73	eV/atom
Fermi-level density of states	0.000	states/eV per atom
polymorph energy (0 for the lowest one)	1.20	eV per formula unit

Cell lengths 9.3835, 9.3835, 6.0628 Å; angles 90.00, 90.00, 90.00 degrees
Last column: nearest neighbours and their distance in Å.
Element x y z (fractional)
Rb 0.1828 0.3172 0.0000  2 Te 3.44
Rb 0.3172 0.8172 0.0000  2 Te 3.44
Rb 0.6828 0.1828 0.0000  2 Te 3.44
Rb 0.8172 0.6828 0.0000  2 Te 3.44
Te 0.0000 0.0000 0.0000  4 Rb 3.44
Te 0.5000 0.5000 0.0000  4 Rb 3.44
H 0.0284 0.5284 0.5000  1 H 0.76
H 0.4716 0.0284 0.5000  1 H 0.76
H 0.5284 0.9716 0.5000  1 H 0.76
H 0.9716 0.4716 0.5000  1 H 0.76


Entry 8:
Density functional theory data (PBE-GGA) for crystalline RbTe2H2 at its relaxed geometry.

Output
energy	-2.99	eV/atom
Fermi-level density of states	0.233	states/eV per atom
polymorph energy (0 for the lowest one)	0.00	eV per formula unit

Cell lengths 6.7507, 7.7969, 7.8026 Å; angles 92.52, 115.59, 115.61 degrees
Last column: nearest neighbours and their distance in Å.
Element x y z (fractional)
Rb 0.0010 0.2502 0.2498  4 H 3.17-3.19
Rb 0.9990 0.7498 0.7502  4 H 3.17-3.19
Te 0.1088 0.2791 0.7789  1 H 1.70
Te 0.4498 0.7797 0.2795  1 H 1.70
Te 0.5502 0.2203 0.7205  1 H 1.70
Te 0.8912 0.7209 0.2211  1 H 1.70
H 0.1169 0.9209 0.4234  1 Te 1.70
H 0.2743 0.5798 0.0772  1 Te 1.70
H 0.7257 0.4202 0.9228  1 Te 1.70
H 0.8831 0.0791 0.5766  1 Te 1.70


Entry 9:
Density functional theory data (PBE-GGA) for crystalline Rb4TeH at its relaxed geometry.

Output
energy	-2.12	eV/atom
Fermi-level density of states	0.362	states/eV per atom

Cell lengths 8.2211, 8.2212, 8.4469 Å; angles 90.00, 90.16, 90.00 degrees
Last column: nearest neighbours and their distance in Å.
Element x y z (fractional)
Rb 0.2493 0.2498 0.2326  2 H 3.50-3.51, 2 Te 3.68
Rb 0.2493 0.7502 0.2326  2 H 3.50-3.51, 2 Te 3.68
Rb 0.2507 0.2502 0.7674  2 H 3.50-3.51, 2 Te 3.68
Rb 0.2507 0.7498 0.7674  2 H 3.50-3.51, 2 Te 3.68
Rb 0.7493 0.2502 0.2326  2 H 3.50-3.51, 2 Te 3.68
Rb 0.7493 0.7498 0.2326  2 H 3.50-3.51, 2 Te 3.68
Rb 0.7507 0.2498 0.7674  2 H 3.50-3.51, 2 Te 3.68
Rb 0.7507 0.7502 0.7674  2 H 3.50-3.51, 2 Te 3.68
Te 0.0000 0.0000 0.5000  8 Rb 3.68
Te 0.5000 0.5000 0.5000  8 Rb 3.68
H 0.0000 0.5000 0.0000  8 Rb 3.50-3.51
H 0.5000 0.0000 0.0000  8 Rb 3.50-3.51


Entry 10:
Density functional theory data (PBE-GGA) for crystalline Rb5Te2H4 at its relaxed geometry.

Output
energy	-2.61	eV/atom
Fermi-level density of states	0.152	states/eV per atom

Cell lengths 7.8739, 7.8739, 7.8589 Å; angles 116.89, 116.89, 57.79 degrees
Last column: nearest neighbours and their distance in Å.
Element x y z (fractional)
Rb 0.0000 0.0000 0.0000  2 H 2.67
Rb 0.0550 0.5490 0.2714  3 H 2.77-2.98
Rb 0.4510 0.9450 0.7286  3 H 2.77-2.98
Rb 0.5490 0.0550 0.2714  3 H 2.77-2.98
Rb 0.9450 0.4510 0.7286  3 H 2.77-2.98
Te 0.4589 0.4589 0.7493  1 Te 3.49, 4 Rb 3.73-3.87
Te 0.5411 0.5411 0.2507  1 Te 3.49, 4 Rb 3.73-3.87
H 0.0048 0.0048 0.5521  1 H 0.76
H 0.1832 0.1832 0.9673  5 Rb 2.67-2.81, 1 H 2.90
H 0.8168 0.8168 0.0327  5 Rb 2.67-2.81, 1 H 2.90
H 0.9952 0.9952 0.4479  1 H 0.76


Entry 11:
Density functional theory data (PBE-GGA) for crystalline Rb3TeH2 at its relaxed geometry.

Output
energy	-2.40	eV/atom
Fermi-level density of states	0.242	states/eV per atom
polymorph energy (0 for the lowest one)	0.00	eV per formula unit

Cell lengths 13.6354, 13.6354, 5.4150 Å; angles 90.37, 90.37, 23.56 degrees
Last column: nearest neighbours and their distance in Å.
Element x y z (fractional)
Rb 0.0712 0.0712 0.2520  3 H 2.82-3.00
Rb 0.2018 0.2018 0.7528  2 H 2.92
Rb 0.4287 0.4287 0.2479  1 H 2.59
Rb 0.5713 0.5713 0.7521  1 H 2.59
Rb 0.7982 0.7982 0.2472  2 H 2.92
Rb 0.9288 0.9288 0.7480  3 H 2.82-3.00
Te 0.3385 0.3385 0.7455  2 H 2.69-2.73
Te 0.6615 0.6615 0.2545  2 H 2.69-2.73
H 0.0411 0.0411 0.7508  5 Rb 2.82-3.00
H 0.3318 0.3318 0.2416  1 Rb 2.59, 2 Te 2.69-2.73
H 0.6682 0.6682 0.7584  1 Rb 2.59, 2 Te 2.69-2.73
H 0.9589 0.9589 0.2492  5 Rb 2.82-3.00


Entry 12:
Density functional theory data (PBE-GGA) for crystalline RbTeH2 at its relaxed geometry.

Output
energy	-2.78	eV/atom
polymorph energy (0 for the lowest one)	0.77	eV per formula unit

Cell lengths 5.0546, 5.3620, 7.6689 Å; angles 109.56, 93.29, 90.03 degrees
Last column: nearest neighbours and their distance in Å.
Element x y z (fractional)
Rb 0.1968 0.3625 0.2312  5 H 2.96-3.24
Rb 0.8032 0.6375 0.7688  5 H 2.96-3.24
Te 0.3088 0.1092 0.7102  1 H 1.77
Te 0.6912 0.8908 0.2898  1 H 1.77
H 0.3256 0.9545 0.4135  1 H 2.10, 2 Te 2.10-2.15
H 0.4692 0.7885 0.0909  1 Te 1.77
H 0.5308 0.2115 0.9091  1 Te 1.77
H 0.6744 0.0455 0.5865  1 H 2.10, 2 Te 2.10-2.15


- Look up the energy of the seventh one.
  -2.73 eV/atom